## TcNi2 (PBE)

Data for an optimized crystal structure of TcNi2.

Unit cell a=4.0691 b=4.0691 c=2.5027 alpha=90.00 beta=90.00 gamma=120.00
Space group P6/mmm (No. 191)
Unique sites:
1 Tc 0.0000 0.0000 0.0000 x1
2 Ni 0.3333 0.6667 0.5000 x2

Output
* total magnetization: 0.000 μB per cell
* E_form: -0.038 eV/atom
* E above lowest polymorph: 0.000 eV/atom
* mass density: 9.966 Mg/m³
* volume: 35.9 Å³ per cell

---

## Ir2PtPbO8 (PBE)

Data for an optimized crystal structure of Ir2PtPbO8.

Unit cell a=5.3006 b=5.3006 c=7.4947 alpha=90.00 beta=90.00 gamma=120.00
Space group P-3 (No. 147)
Unique sites:
1 Ir 0.3333 0.6667 0.2150 x2
2 Pt 0.0000 0.0000 0.0000 x1
3 Pb 0.0000 0.0000 0.5000 x1
4 O 0.0138 0.2951 0.1838 x6
5 O 0.3333 0.6667 0.4632 x2

Output
* total magnetization: 0.000 μB per cell
* mass density: 8.329 Mg/m³
* E_form (uncorrected): -4.32 eV/f.u.
* volume: 182.4 Å³ per cell

---

## K2FeOs (PBE)

Data for an optimized crystal structure of K2FeOs.

Unit cell a=2.677 b=5.557 c=5.605 alpha=90.00 beta=90.00 gamma=90.00
Space group Pmmm (No. 47)
Unique sites:
1 K 0.000 0.249 0.000 x2
2 Fe 0.500 0.500 0.500 x1
3 Os 0.500 0.000 0.500 x1

Output
* total magnetization: 2.823 μB per cell
* E_form: 1.382 eV/atom
* E above lowest polymorph: 0.608 eV/atom
* mass density: 6.457 Mg/m³
* volume: 83.4 Å³ per cell

---

## CuMo2Pt (PBE)

Data for an optimized crystal structure of CuMo2Pt.

Unit cell a=4.770 b=4.770 c=2.672 alpha=90.00 beta=90.00 gamma=90.00
Space group P4/mmm (No. 123)
Unique sites:
1 Cu 0.000 0.000 0.000 x1
2 Mo 0.000 0.500 0.500 x2
3 Pt 0.500 0.500 0.000 x1

Output
* total magnetization: 0.000 μB per cell
* E_form: 0.201 eV/atom
* E above lowest polymorph: 0.254 eV/atom
* mass density: 12.306 Mg/m³
* volume: 60.8 Å³ per cell

---

## KCd2Cu (PBE)

Data for an optimized crystal structure of KCd2Cu.

Unit cell a=11.770 b=3.371 c=5.912 alpha=90.00 beta=111.84 gamma=90.00
Space group C2/m (No. 12)
Unique sites:
1 K 0.000 0.000 0.000 x2
2 Cd 0.190 0.000 0.638 x4
3 Cu 0.000 0.500 0.500 x2

Output
* total magnetization: 0.000 μB per cell
* E_form: 0.151 eV/atom
* E above lowest polymorph: 0.120 eV/atom
* mass density: 4.994 Mg/m³
* volume: 217.8 Å³ per cell

---

## Ti4V2As (PBE)

Data for an optimized crystal structure of Ti4V2As.

Unit cell a=4.709 b=4.709 c=11.991 alpha=90.00 beta=90.00 gamma=90.00
Space group I4/mmm (No. 139)
Unique sites:
1 Ti 0.000 0.000 0.205 x4
2 Ti 0.000 0.500 0.000 x4
3 V 0.000 0.000 0.397 x4
4 As 0.000 0.000 0.000 x2

Output
* total magnetization: 1.622 μB per cell
* E_form: 0.571 eV/atom
* mass density: 4.601 Mg/m³
* volume: 265.8 Å³ per cell